LiMnNiH4 | PBE-GGA | optimized geometry Values from VASP.

Quantum ESPRESSO input file:
```
&SYSTEM
  ibrav = 0, nat = 14, ntyp = 4
/
ATOMIC_SPECIES
Li 6.94 Li.upf
Mn 54.94 Mn.upf
Ni 58.69 Ni.upf
H 1.01 H.upf
CELL_PARAMETERS angstrom
-2.6231 2.6262 3.8241
2.6231 -2.6262 3.8241
2.6231 2.6262 -3.8241
ATOMIC_POSITIONS crystal
Li 0.3854 0.1354 0.2500
Li 0.6146 0.8646 0.7500
Mn 0.0000 0.5000 0.5000
Mn 0.5000 0.5000 0.0000
Ni 0.0000 0.0000 0.5000
Ni 0.0000 0.5000 0.0000
H 0.1902 0.7324 0.4578
H 0.2254 0.2676 0.9578
H 0.2290 0.2536 0.5247
H 0.2290 0.7043 0.9753
H 0.7710 0.2957 0.0247
H 0.7710 0.7464 0.4753
H 0.7746 0.7324 0.0422
H 0.8098 0.2676 0.5422
```

Properties
Its space group is Imma, No. 74. The calculation puts the total energy at -0.3272 Ry/atom.